#i
{"formula": "TbPrSmSc", "functional": "GGA-PBE", "state": "optimized geometry", "spacegroup": "Cm, No. 8", "lattice_angstrom": [[6.144, -2.860, 0.000], [6.144, 2.860, 0.000], [-1.163, 0.000, 3.615]], "species": ["Tb", "Pr", "Sm", "Sc"], "fractional_positions": [[0.000, 0.000, 0.000], [0.458, 0.458, 0.455], [0.733, 0.733, 0.250], [0.226, 0.226, 0.733]]}

#ii
{"formula": "TbPrSmSc", "functional": "GGA-PBE", "state": "optimized geometry", "spacegroup": "F-43m, No. 216", "lattice_angstrom": [[0.000, 3.982, 3.982], [3.982, 0.000, 3.982], [3.982, 3.982, 0.000]], "species": ["Tb", "Pr", "Sm", "Sc"], "fractional_positions": [[0.000, 0.000, 0.000], [0.750, 0.750, 0.750], [0.250, 0.250, 0.250], [0.500, 0.500, 0.500]]}

Among the structures above, stability is smallest for #ii.